# 1
This record from the Alexandria database describes an optimized crystal structure of RbNi2Ir. The functional is PBE.

## Properties
The magnetization comes out at 2.00 μB per formula unit. For the theoretical density, the calculation gives 9.66 Mg/m³. Its total energy is -4.092 eV/atom. The density of states at the Fermi level is 0.9416 states/eV per atom. Its energy above the most stable polymorph in this dataset is 466.4 meV/atom.

Lattice parameters (Å, degrees): 4.579 4.579 4.579 60.00 60.00 60.00
Fractional coordinates of all 4 atoms:
Rb  0.000  0.000  0.000
Ni  0.250  0.250  0.250
Ni  0.750  0.750  0.750
Ir  0.500  0.500  0.500

=====

# 2
This record from the Alexandria database describes an optimized crystal structure of RbNi3Ir. The functional is PBE.

## Properties
The magnetization comes out at 1.06 μB per formula unit. For the theoretical density, the calculation gives 8.55 Mg/m³. Its total energy is -2.915 eV/atom. The density of states at the Fermi level is 1.7747 states/eV per atom. Its energy above the most stable polymorph in this dataset is 1587.8 meV/atom.

Lattice parameters (Å, degrees): 4.451 4.451 4.451 90.00 90.00 90.00
Fractional coordinates of all 5 atoms:
Rb  0.000  0.000  0.000
Ni  0.000  0.000  0.500
Ni  0.000  0.500  0.000
Ni  0.500  0.000  0.000
Ir  0.500  0.500  0.500

=====

# 3
This record from the Alexandria database describes an optimized crystal structure of RbNi2Ir. The functional is PBE.

## Properties
The magnetization comes out at 0.00 μB per formula unit. For the theoretical density, the calculation gives 6.40 Mg/m³. Its total energy is -4.559 eV/atom. The density of states at the Fermi level is 1.4408 states/eV per atom. Its energy above the most stable polymorph in this dataset is 0.0 meV/atom.

Lattice parameters (Å, degrees): 8.466 8.466 8.466 144.34 144.34 51.32
Fractional coordinates of all 8 atoms:
Rb  0.375  0.625  0.750
Rb  0.625  0.375  0.250
Ni  0.000  0.000  0.000
Ni  0.000  0.000  0.500
Ni  0.000  0.500  0.000
Ni  0.500  0.000  0.500
Ir  0.125  0.875  0.250
Ir  0.875  0.125  0.750

=====

# 4
This record from the Alexandria database describes an optimized crystal structure of RbNiIr3. The functional is PBE.

## Properties
The magnetization comes out at 0.00 μB per formula unit. For the theoretical density, the calculation gives 11.85 Mg/m³. Its total energy is -5.110 eV/atom. The density of states at the Fermi level is 2.8151 states/eV per atom. Its energy above the most stable polymorph in this dataset is 0.0 meV/atom.

Lattice parameters (Å, degrees): 4.657 4.657 4.657 90.00 90.00 90.00
Fractional coordinates of all 5 atoms:
Rb  0.000  0.000  0.000
Ni  0.500  0.500  0.500
Ir  0.000  0.500  0.500
Ir  0.500  0.000  0.500
Ir  0.500  0.500  0.000

=====

What DFT formation energy values result from the calculations? In sequence: 1.255 2.520 0.789 1.557 eV/atom.